Record 1
! PBE-GGA LuTlNiMo, relaxed; values from VASP
&SYSTEM
  ibrav = 0, nat = 4, ntyp = 4
/
ATOMIC_SPECIES
Lu 174.97 Lu.upf
Tl 204.38 Tl.upf
Ni 58.69 Ni.upf
Mo 95.94 Mo.upf
CELL_PARAMETERS angstrom
3.473 -0.968 3.117
-0.285 1.632 4.469
-0.800 -3.024 3.595
ATOMIC_POSITIONS angstrom
Lu 0.597 -0.590 2.795
Tl 0.000 0.000 0.000
Ni 1.790 -1.770 8.386
Mo 1.194 -1.180 5.590
! - energy above the most stable polymorph in this dataset (meV/atom) = 133
! - total moment (μB per atom) = 0.925
! - raw total energy (eV per atom) = -5.313

Record 2
! PBE-GGA LiYGaCo, relaxed; values from VASP
&SYSTEM
  ibrav = 0, nat = 4, ntyp = 4
/
ATOMIC_SPECIES
Ga 69.72 Ga.upf
Co 58.93 Co.upf
Li 6.94 Li.upf
Y 88.91 Y.upf
CELL_PARAMETERS angstrom
-2.186 3.442 1.891
-0.172 3.975 -2.092
-3.873 1.445 -1.766
ATOMIC_POSITIONS angstrom
Ga 0.000 0.000 0.000
Co -4.673 6.646 -1.475
Li -1.558 2.215 -0.492
Y -3.116 4.431 -0.983
! - energy above the most stable polymorph in this dataset (meV/atom) = 0
! - total moment (μB per atom) = 0.002
! - raw total energy (eV per atom) = -4.858

Record 3
! PBE-GGA GdGa3Au4, relaxed; values from VASP
&SYSTEM
  ibrav = 0, nat = 8, ntyp = 3
/
ATOMIC_SPECIES
Au 196.97 Au.upf
Ga 69.72 Ga.upf
Gd 157.25 Gd.upf
CELL_PARAMETERS angstrom
-2.229 -4.846 -0.995
3.969 -1.621 -0.996
0.996 -1.532 6.465
ATOMIC_POSITIONS angstrom
Au 1.627 -1.642 -0.568
Au -1.012 -3.990 2.463
Au 1.842 -3.200 2.826
Au -0.949 -5.452 5.094
Ga 0.755 -5.967 2.998
Ga 0.037 -3.040 5.096
Ga -0.004 -1.162 1.875
Gd 0.710 -4.301 0.105
! - total moment (μB per atom) = 0.001
! - raw total energy (eV per atom) = -3.742

Record 4
! PBE-GGA NaSmPb, relaxed; values from VASP
&SYSTEM
  ibrav = 0, nat = 3, ntyp = 3
/
ATOMIC_SPECIES
Sm 150.36 Sm.upf
Na 22.99 Na.upf
Pb 207.20 Pb.upf
CELL_PARAMETERS angstrom
0.000 3.696 3.696
3.696 0.000 3.696
3.696 3.696 0.000
ATOMIC_POSITIONS angstrom
Sm 0.000 0.000 0.000
Na 1.848 1.848 1.848
Pb 5.543 5.543 5.543
! - total moment (μB per atom) = 0.000
! - raw total energy (eV per atom) = -3.173

Record 5
! PBE-GGA UTeIr, relaxed; values from VASP
&SYSTEM
  ibrav = 0, nat = 3, ntyp = 3
/
ATOMIC_SPECIES
U 238.03 U.upf
Ir 192.22 Ir.upf
Te 127.60 Te.upf
CELL_PARAMETERS angstrom
2.891 -3.127 2.198
-1.330 -4.581 0.456
2.221 -3.404 -2.539
ATOMIC_POSITIONS angstrom
U 0.000 0.000 0.000
Ir 0.946 -2.778 0.029
Te 2.837 -8.334 0.087
! - energy above the most stable polymorph in this dataset (meV/atom) = 0
! - total moment (μB per atom) = 0.331
! - raw total energy (eV per atom) = -7.663

Record 6
! PBE-GGA Nb2ReHg, relaxed; values from VASP
&SYSTEM
  ibrav = 0, nat = 4, ntyp = 3
/
ATOMIC_SPECIES
Re 186.21 Re.upf
Nb 92.91 Nb.upf
Hg 200.59 Hg.upf
CELL_PARAMETERS angstrom
0.000 3.281 3.281
3.281 0.000 3.281
3.281 3.281 0.000
ATOMIC_POSITIONS angstrom
Re 3.281 3.281 3.281
Nb 4.922 4.922 4.922
Nb 0.000 0.000 0.000
Hg 1.641 1.641 1.641
! - DFT formation energy (meV/atom) = 440
! - total moment (μB per atom) = 0.062
! - raw total energy (eV per atom) = -7.787

Record 7
! PBE-GGA DyErB3, relaxed; values from VASP
&SYSTEM
  ibrav = 0, nat = 10, ntyp = 3
/
ATOMIC_SPECIES
Er 167.26 Er.upf
B 10.81 B.upf
Dy 162.50 Dy.upf
CELL_PARAMETERS angstrom
5.884 0.000 0.000
0.000 3.248 0.000
-0.179 0.000 7.439
ATOMIC_POSITIONS angstrom
Er 1.377 0.812 5.556
Er 4.328 2.436 1.882
B 2.470 2.436 7.415
B 3.322 0.812 3.727
B 3.236 0.812 0.023
B 5.325 0.812 3.726
B 2.383 2.436 3.712
B 0.380 2.436 3.712
Dy 4.323 2.436 5.633
Dy 1.382 0.812 1.806
! - total moment (μB per atom) = 0.001
! - raw total energy (eV per atom) = -6.302

Record 8
! PBE-GGA Cu15Te, relaxed; values from VASP
&SYSTEM
  ibrav = 0, nat = 32, ntyp = 2
/
ATOMIC_SPECIES
Cu 63.55 Cu.upf
Te 127.60 Te.upf
CELL_PARAMETERS angstrom
-2.203 -3.942 2.304
2.248 -1.374 -0.201
12.202 14.610 36.555
ATOMIC_POSITIONS angstrom
Cu 3.027 -0.244 9.467
Cu 6.148 3.498 18.786
Cu 9.219 9.539 29.191
Cu 6.206 4.219 14.502
Cu 8.231 5.992 25.023
Cu 5.174 2.983 11.417
Cu 10.290 8.458 31.192
Cu 5.103 2.246 15.653
Cu 3.950 2.574 17.891
Cu 8.101 7.538 30.364
Cu 4.075 1.016 12.566
Cu 8.172 8.279 26.092
Cu 7.194 4.751 21.916
Cu 2.981 2.064 10.535
Cu 9.265 7.231 28.123
Cu 1.956 0.837 7.466
Cu 7.072 6.312 27.241
Cu 5.052 4.543 16.742
Cu 8.296 6.721 20.767
Cu 7.143 7.049 23.005
Cu 6.040 5.075 24.156
Cu 4.145 1.757 8.295
Cu 1.883 0.098 11.701
Cu 4.015 3.303 13.635
Cu 7.249 5.469 17.628
Cu 2.910 1.328 14.777
Cu 9.336 7.967 23.881
Cu 4.997 3.826 21.030
Cu 6.098 5.797 19.872
Cu 10.363 9.196 26.957
Te 11.667 10.758 30.862
Te 0.579 -1.464 7.796
! - energy above the most stable polymorph in this dataset (meV/atom) = 55
! - raw total energy (eV per atom) = -3.601

Record 9
! PBE-GGA Zr4Ta3, relaxed; values from VASP
&SYSTEM
  ibrav = 0, nat = 14, ntyp = 2
/
ATOMIC_SPECIES
Ta 180.95 Ta.upf
Zr 91.22 Zr.upf
CELL_PARAMETERS angstrom
5.271 5.565 0.000
-3.561 7.759 0.000
0.000 0.000 4.799
ATOMIC_POSITIONS angstrom
Ta -0.317 6.364 0.000
Ta 1.177 5.754 2.399
Ta 2.188 7.530 0.000
Ta 0.929 8.543 2.399
Ta -1.576 7.376 2.399
Ta -0.565 9.152 0.000
Zr -3.292 7.982 0.000
Zr 0.846 11.655 2.399
Zr -0.234 3.251 0.000
Zr 2.133 10.483 0.000
Zr 2.606 4.566 0.000
Zr -1.521 4.423 2.399
Zr 3.904 6.924 2.399
Zr 1.566 2.581 2.399
! - energy above the most stable polymorph in this dataset (meV/atom) = 0
! - DFT formation energy (meV/atom) = 107
! - total moment (μB per atom) = 0.004
! - raw total energy (eV per atom) = -9.856

Record 10
! PBE-GGA NdBeO3, relaxed; values from VASP
&SYSTEM
  ibrav = 0, nat = 10, ntyp = 3
/
ATOMIC_SPECIES
O 16.00 O.upf
Nd 144.24 Nd.upf
Be 9.01 Be.upf
CELL_PARAMETERS angstrom
-1.707 -1.524 -4.919
-4.456 -3.054 -0.500
-4.709 2.396 -2.100
ATOMIC_POSITIONS angstrom
O -5.339 0.581 -1.815
O -2.894 -0.815 -3.554
O -5.016 0.507 -5.722
O -5.533 -2.762 -5.703
O -5.856 -2.688 -1.796
O -7.978 -1.367 -3.964
Nd -4.417 -2.596 -3.647
Nd -6.455 0.415 -3.872
Be -6.957 -3.404 -5.506
Be -3.915 1.223 -2.012
! - total moment (μB per atom) = 0.200
! - raw total energy (eV per atom) = -6.920

Record 11
! PBE-GGA PmAlNO, relaxed; values from VASP
&SYSTEM
  ibrav = 0, nat = 8, ntyp = 4
/
ATOMIC_SPECIES
Al 26.98 Al.upf
N 14.01 N.upf
O 16.00 O.upf
Pm 145.00 Pm.upf
CELL_PARAMETERS angstrom
-3.792 -0.208 -0.460
0.030 -3.573 1.365
-1.156 3.094 8.127
ATOMIC_POSITIONS angstrom
Al -0.578 1.547 4.063
Al -2.459 -0.344 4.516
N -2.539 1.617 4.291
N -0.498 -0.414 4.288
O 0.000 0.000 0.000
O -1.881 -1.891 0.452
Pm -2.890 2.557 6.759
Pm -0.147 -1.353 1.820
! - energy above the most stable polymorph in this dataset (meV/atom) = 167
! - total moment (μB per atom) = 0.200
! - raw total energy (eV per atom) = -7.190

Record 12
! PBE-GGA BaCu9Si4, relaxed; values from VASP
&SYSTEM
  ibrav = 0, nat = 28, ntyp = 3
/
ATOMIC_SPECIES
Cu 63.55 Cu.upf
Si 28.09 Si.upf
Ba 137.33 Ba.upf
CELL_PARAMETERS angstrom
0.948 2.315 -7.808
4.302 6.532 2.459
2.311 -7.550 2.347
ATOMIC_POSITIONS angstrom
Cu 0.468 0.890 -1.442
Cu 2.679 0.536 -2.768
Cu 4.782 7.957 -3.907
Cu 2.973 -1.914 -3.458
Cu 1.859 -0.495 -5.278
Cu 2.151 3.266 1.229
Cu 1.769 3.505 -6.807
Cu 3.481 5.342 1.458
Cu 5.701 1.792 2.276
Cu 1.684 2.939 -2.680
Cu 3.566 5.908 -2.668
Cu 4.588 3.210 0.457
Cu 0.474 1.157 -3.904
Cu 4.257 0.249 -4.766
Cu 3.304 1.047 1.764
Cu 4.882 0.761 -0.234
Cu 2.545 4.481 -4.430
Cu 2.705 4.366 -0.919
Si 5.024 -0.695 1.918
Si 4.992 5.412 -0.580
Si 2.569 -4.116 -2.422
Si 4.828 5.600 -4.849
Si 2.536 1.991 -4.920
Si 4.860 -0.506 -2.351
Si 2.733 -4.304 1.847
Si 2.700 1.803 -0.651
Ba 5.093 2.860 -2.838
Ba 2.468 -1.564 -0.164
! - raw total energy (eV per atom) = -4.270